An optimized crystal structure of As3Ir, computed with PBEsol.

a = 2.9565 Å, b = 4.6981 Å, c = 4.6981 Å
α = 90.00°, β = 90.00°, γ = 90.00°
With the nearest neighbours (Å) after each atom.
Fractional positions:
As: 0.0000 0.0000 0.5000  6 As 2.78-2.96, 4 Ir 2.78
As: 0.5000 0.5000 0.5000  10 As 2.78-2.96
As: 0.0000 0.5000 0.0000  6 As 2.78-2.96, 4 Ir 2.78
Ir: 0.5000 0.0000 0.0000  8 As 2.78, 2 Ir 2.96

**Symmetry**: No. 123
**D(E_F)**: 0.592 states/eV per atom


An optimized crystal structure of As3Ir, computed with PBEsol.

a = 3.7482 Å, b = 5.0602 Å, c = 7.8566 Å
α = 90.00°, β = 90.00°, γ = 90.00°
With the nearest neighbours (Å) after each atom.
Fractional positions:
As: 0.5000 0.8492 0.0000  2 Ir 2.45, 2 As 2.63
As: 0.0000 0.1508 0.5000  2 Ir 2.45, 2 As 2.63
As: 0.0000 0.7087 0.6766  2 As 2.63-2.78, 3 Ir 2.64-2.69
As: 0.0000 0.7087 0.3234  2 As 2.63-2.78, 3 Ir 2.64-2.69
As: 0.5000 0.2913 0.1766  2 As 2.63-2.78, 3 Ir 2.64-2.69
As: 0.5000 0.2913 0.8234  2 As 2.63-2.78, 3 Ir 2.64-2.69
Ir: 0.0000 0.5363 0.0000  8 As 2.45-2.69
Ir: 0.5000 0.4637 0.5000  8 As 2.45-2.69

**Symmetry**: No. 59
**D(E_F)**: 0.461 states/eV per atom


ΔE_f across the listed records, respectively: 1.576, 0.009 eV per formula unit.